(1)
AgPt2C | GGA-PBE | optimized geometry Values from VASP.

Quantum ESPRESSO input file:
```
&SYSTEM
  ibrav = 0, nat = 8, ntyp = 3
/
ATOMIC_SPECIES
Ag 107.87 Ag.upf
Pt 195.08 Pt.upf
C 12.01 C.upf
CELL_PARAMETERS angstrom
-3.242 3.242 2.955
3.242 -3.242 2.955
3.242 3.242 -2.955
ATOMIC_POSITIONS crystal
Ag 0.000 0.000 0.000
Ag 0.750 0.250 0.500
Pt 0.241 0.625 0.116
Pt 0.375 0.491 0.616
Pt 0.509 0.125 0.884
Pt 0.875 0.759 0.384
C 0.250 0.750 0.500
C 0.500 0.500 0.000
```

## Properties
- Density: 13.63 Mg/m³
- N(E_F): 2.35 states/eV per cell
- Energy of formation from the pure elements: 399.7 meV/atom



(2)
AgPtC2 | GGA-PBE | optimized geometry Values from VASP.

Quantum ESPRESSO input file:
```
&SYSTEM
  ibrav = 0, nat = 4, ntyp = 3
/
ATOMIC_SPECIES
Ag 107.87 Ag.upf
Pt 195.08 Pt.upf
C 12.01 C.upf
CELL_PARAMETERS angstrom
0.000 2.850 2.850
2.850 0.000 2.850
2.850 2.850 0.000
ATOMIC_POSITIONS crystal
Ag 0.000 0.000 0.000
Pt 0.500 0.500 0.500
C 0.250 0.250 0.250
C 0.750 0.750 0.750
```

## Properties
- Offset from the most stable computed form: 713 meV/atom
- Density: 11.72 Mg/m³
- N(E_F): 2.81 states/eV per cell
- Energy of formation from the pure elements: 2123.3 meV/atom



(3)
Ag3PtC | GGA-PBE | optimized geometry Values from VASP.

Quantum ESPRESSO input file:
```
&SYSTEM
  ibrav = 0, nat = 5, ntyp = 3
/
ATOMIC_SPECIES
Ag 107.87 Ag.upf
Pt 195.08 Pt.upf
C 12.01 C.upf
CELL_PARAMETERS angstrom
5.151 0.000 0.000
0.000 5.151 0.000
0.000 0.000 5.151
ATOMIC_POSITIONS crystal
Ag 0.000 0.000 0.500
Ag 0.000 0.500 0.000
Ag 0.500 0.000 0.000
Pt 0.000 0.000 0.000
C 0.500 0.500 0.500
```

## Properties
- Offset from the most stable computed form: 1271 meV/atom
- Density: 6.45 Mg/m³
- N(E_F): 4.03 states/eV per cell
- Energy of formation from the pure elements: 2098.6 meV/atom



(4)
AgPtC3 | GGA-PBE | optimized geometry Values from VASP.

Quantum ESPRESSO input file:
```
&SYSTEM
  ibrav = 0, nat = 5, ntyp = 3
/
ATOMIC_SPECIES
Ag 107.87 Ag.upf
Pt 195.08 Pt.upf
C 12.01 C.upf
CELL_PARAMETERS angstrom
4.069 0.000 0.000
0.000 4.069 0.000
0.000 0.000 4.069
ATOMIC_POSITIONS crystal
Ag 0.000 0.000 0.000
Pt 0.500 0.500 0.500
C 0.000 0.500 0.500
C 0.500 0.000 0.500
C 0.500 0.500 0.000
```

## Properties
- Offset from the most stable computed form: 0 meV/atom
- Density: 8.35 Mg/m³
- N(E_F): 4.12 states/eV per cell
- Energy of formation from the pure elements: 2564.3 meV/atom



(5)
AgPtC2 | GGA-PBE | optimized geometry Values from VASP.

Quantum ESPRESSO input file:
```
&SYSTEM
  ibrav = 0, nat = 8, ntyp = 3
/
ATOMIC_SPECIES
Ag 107.87 Ag.upf
Pt 195.08 Pt.upf
C 12.01 C.upf
CELL_PARAMETERS angstrom
-2.520 2.520 4.555
2.520 -2.520 4.555
2.520 2.520 -4.555
ATOMIC_POSITIONS crystal
Ag 0.000 0.000 0.000
Ag 0.750 0.250 0.500
Pt 0.250 0.750 0.500
Pt 0.500 0.500 0.000
C 0.174 0.625 0.049
C 0.375 0.424 0.549
C 0.576 0.125 0.951
C 0.875 0.826 0.451
```

## Properties
- Offset from the most stable computed form: 0 meV/atom
- Density: 9.38 Mg/m³
- N(E_F): 2.54 states/eV per cell
- Energy of formation from the pure elements: 1410.7 meV/atom



(6)
Ag2PtC2 | GGA-PBE | optimized geometry Values from VASP.

Quantum ESPRESSO input file:
```
&SYSTEM
  ibrav = 0, nat = 10, ntyp = 3
/
ATOMIC_SPECIES
Ag 107.87 Ag.upf
Pt 195.08 Pt.upf
C 12.01 C.upf
CELL_PARAMETERS angstrom
5.336 0.000 0.000
0.000 5.336 0.000
0.000 0.000 4.474
ATOMIC_POSITIONS crystal
Ag 0.185 0.315 0.000
Ag 0.315 0.815 0.000
Ag 0.685 0.185 0.000
Ag 0.815 0.685 0.000
Pt 0.000 0.000 0.500
Pt 0.500 0.500 0.500
C 0.093 0.407 0.500
C 0.407 0.907 0.500
C 0.593 0.093 0.500
C 0.907 0.593 0.500
```

## Properties
- Offset from the most stable computed form: 0 meV/atom
- Density: 11.34 Mg/m³
- N(E_F): 0.69 states/eV per cell
- Energy of formation from the pure elements: 675.2 meV/atom



(7)
Ag3PtC | GGA-PBE | optimized geometry Values from VASP.

Quantum ESPRESSO input file:
```
&SYSTEM
  ibrav = 0, nat = 5, ntyp = 3
/
ATOMIC_SPECIES
Ag 107.87 Ag.upf
Pt 195.08 Pt.upf
C 12.01 C.upf
CELL_PARAMETERS angstrom
4.269 0.000 0.000
0.000 4.269 0.000
0.000 0.000 4.269
ATOMIC_POSITIONS crystal
Ag 0.000 0.000 0.500
Ag 0.000 0.500 0.000
Ag 0.500 0.000 0.000
Pt 0.500 0.500 0.500
C 0.000 0.000 0.000
```

## Properties
- Offset from the most stable computed form: 0 meV/atom
- Density: 11.32 Mg/m³
- N(E_F): 1.80 states/eV per cell
- Energy of formation from the pure elements: 827.5 meV/atom



(8)
Ag2PtC2 | GGA-PBE | optimized geometry Values from VASP.

Quantum ESPRESSO input file:
```
&SYSTEM
  ibrav = 0, nat = 5, ntyp = 3
/
ATOMIC_SPECIES
Ag 107.87 Ag.upf
Pt 195.08 Pt.upf
C 12.01 C.upf
CELL_PARAMETERS angstrom
-2.015 2.015 4.140
2.015 -2.015 4.140
2.015 2.015 -4.140
ATOMIC_POSITIONS crystal
Ag 0.250 0.750 0.500
Ag 0.750 0.250 0.500
Pt 0.000 0.000 0.000
C 0.421 0.421 0.000
C 0.579 0.579 0.000
```

## Properties
- Offset from the most stable computed form: 518 meV/atom
- Density: 10.74 Mg/m³
- N(E_F): 0.28 states/eV per cell
- Energy of formation from the pure elements: 1193.2 meV/atom



(9)
AgPt3C | GGA-PBE | optimized geometry Values from VASP.

Quantum ESPRESSO input file:
```
&SYSTEM
  ibrav = 0, nat = 5, ntyp = 3
/
ATOMIC_SPECIES
Ag 107.87 Ag.upf
Pt 195.08 Pt.upf
C 12.01 C.upf
CELL_PARAMETERS angstrom
4.905 0.000 0.000
0.000 4.905 0.000
0.000 0.000 4.905
ATOMIC_POSITIONS crystal
Ag 0.000 0.000 0.000
Pt 0.000 0.000 0.500
Pt 0.000 0.500 0.000
Pt 0.500 0.000 0.000
C 0.500 0.500 0.500
```

## Properties
- Offset from the most stable computed form: 2591 meV/atom
- Density: 9.92 Mg/m³
- N(E_F): 5.41 states/eV per cell
- Energy of formation from the pure elements: 2903.7 meV/atom



(10)
AgPt3C | GGA-PBE | optimized geometry Values from VASP.

Quantum ESPRESSO input file:
```
&SYSTEM
  ibrav = 0, nat = 5, ntyp = 3
/
ATOMIC_SPECIES
Ag 107.87 Ag.upf
Pt 195.08 Pt.upf
C 12.01 C.upf
CELL_PARAMETERS angstrom
4.203 0.000 0.000
0.000 4.203 0.000
0.000 0.000 4.203
ATOMIC_POSITIONS crystal
Ag 0.000 0.000 0.000
Pt 0.000 0.500 0.500
Pt 0.500 0.000 0.500
Pt 0.500 0.500 0.000
C 0.500 0.500 0.500
```

## Properties
- Offset from the most stable computed form: 0 meV/atom
- Density: 15.78 Mg/m³
- N(E_F): 7.11 states/eV per cell
- Energy of formation from the pure elements: 313.1 meV/atom



(11)
AgPtC3 | GGA-PBE | optimized geometry Values from VASP.

Quantum ESPRESSO input file:
```
&SYSTEM
  ibrav = 0, nat = 5, ntyp = 3
/
ATOMIC_SPECIES
Ag 107.87 Ag.upf
Pt 195.08 Pt.upf
C 12.01 C.upf
CELL_PARAMETERS angstrom
4.077 0.000 0.000
0.000 4.077 0.000
0.000 0.000 4.077
ATOMIC_POSITIONS crystal
Ag 0.000 0.000 0.000
Pt 0.500 0.500 0.500
C 0.000 0.000 0.500
C 0.000 0.500 0.000
C 0.500 0.000 0.000
```

## Properties
- Offset from the most stable computed form: 766 meV/atom
- Density: 8.31 Mg/m³
- N(E_F): 2.45 states/eV per cell
- Energy of formation from the pure elements: 3330.0 meV/atom



(12)
Sr2AgPtC | GGA-PBE | optimized geometry Values from VASP.

Quantum ESPRESSO input file:
```
&SYSTEM
  ibrav = 0, nat = 5, ntyp = 4
/
ATOMIC_SPECIES
Sr 87.62 Sr.upf
Ag 107.87 Ag.upf
Pt 195.08 Pt.upf
C 12.01 C.upf
CELL_PARAMETERS angstrom
5.578 0.000 0.000
0.000 5.578 0.000
0.000 0.000 3.891
ATOMIC_POSITIONS crystal
Sr 0.000 0.500 0.000
Sr 0.500 0.000 0.000
Ag 0.000 0.000 0.500
Pt 0.500 0.500 0.500
C 0.500 0.500 0.000
```

## Properties
- Density: 6.72 Mg/m³
- N(E_F): 2.69 states/eV per cell
- Energy of formation from the pure elements: -302.2 meV/atom